Here is a geometry-optimized Hg2Bi4H3 structure from Alexandria. Energies are from PBE-GGA.

POSCAR file:
```
Hg2Bi4H3
1.0
6.2553 0.0000 0.0000
0.0196 7.2760 0.0000
1.2189 0.0269 9.6987
Hg Bi H
4 8 6
direct
0.1801 0.0186 0.3217
0.1824 0.4730 0.3227
0.8176 0.5270 0.6773
0.8199 0.9814 0.6783
0.2554 0.5306 0.9686
0.2566 0.9735 0.9674
0.3190 0.4815 0.6509
0.3213 0.0312 0.6501
0.6787 0.9688 0.3499
0.6810 0.5185 0.3491
0.7434 0.0265 0.0326
0.7446 0.4694 0.0314
0.1833 0.7457 0.3097
0.2562 0.2516 0.9658
0.3274 0.7564 0.6274
0.6726 0.2436 0.3726
0.7438 0.7484 0.0342
0.8167 0.2543 0.6903
```

Calculated values
Space-group type: P-1 (2)
Energy: -47.0 eV per cell